(1)
{"formula": "RbPdNO", "functional": "PBE", "state": "relaxed", "cell": [[-3.1562, 0.1209, 3.2370], [-1.5752, -4.0064, -1.3863], [4.4129, -3.2661, 4.4247]], "species": ["N", "N", "O", "O", "Pd", "Pd", "Rb", "Rb"], "fractional_positions": [[0.7500, 0.7500, 0.2993], [0.2500, 0.2500, 0.7007], [0.7500, 0.2500, 0.0000], [0.2500, 0.7500, 0.0000], [0.7500, 0.7500, 0.0409], [0.2500, 0.2500, 0.9591], [0.7500, 0.2500, 0.5000], [0.2500, 0.7500, 0.5000]], "volume_a3_per_atom": 18.03, "polymorph_energy_ev_per_atom": 0.551}



(2)
{"formula": "PmCdPO", "functional": "PBE", "state": "relaxed", "cell": [[-1.7073, 3.4901, 2.0882], [-4.5812, -3.9591, 2.8714], [3.6885, -0.9407, 4.5879]], "species": ["Cd", "Cd", "O", "O", "P", "P", "Pm", "Pm"], "fractional_positions": [[0.5000, 0.8527, 0.0007], [0.5000, 0.1473, 0.5007], [0.5000, 0.8185, 0.4062], [0.5000, 0.1815, 0.9062], [0.0000, 0.2984, 0.4188], [0.0000, 0.7016, 0.9188], [0.0000, 0.7227, 0.4284], [0.0000, 0.2773, 0.9284]], "volume_a3_per_atom": 22.03, "magnetic_moment_mub_per_cell": 0.00, "polymorph_energy_ev_per_atom": 0.222}



(3)
{"formula": "HfNbHg", "functional": "PBE", "state": "relaxed", "cell": [[0.7418, -3.0340, 3.5139], [1.5690, 1.5499, 4.1520], [-2.8481, -0.0067, 3.7405]], "species": ["Hf", "Hg", "Nb"], "fractional_positions": [[0.2500, 0.2500, 0.2500], [0.7500, 0.7500, 0.7500], [0.0000, 0.0000, 0.0000]], "volume_a3_per_atom": 24.49, "delta_e_f_mev_per_atom": 916, "magnetic_moment_mub_per_cell": 2.91}